VASP calculation (PBE-GGA) on a relaxed structure of LiZn2Ga4.

The calculation puts the total magnetization at 0.00 μB/atom. The density is 5503 kg/m3. The formation energy comes out at -0.0641 eV/atom. The density of states at the Fermi level comes out at 0.186 states/eV/atom. The final energy comes out at -17.02 eV/f.u.

a = 5.632 Å, b = 5.632 Å, c = 4.786 Å
α = 113.91°, β = 113.91°, γ = 73.90°
Atoms (fractional coordinates):
Li (0.000, 0.000, 0.000)
Zn (0.463, 0.463, 0.717)
Zn (0.537, 0.537, 0.283)
Ga (0.007, 0.617, 0.301)
Ga (0.383, 0.993, 0.699)
Ga (0.617, 0.007, 0.301)
Ga (0.993, 0.383, 0.699)